Entry 1
Here is crystalline MnFe2Ag at its relaxed geometry from Alexandria via LeMat-Bulk. Energies are from GGA-PBEsol.

Geometry as CIF:
```
data_MnFe2Ag
_space_group_name_H-M_alt 'F m -3 m'
_space_group_IT_number 225
_space_group_name_Hall '-F 4 2 3'
_cell_length_a 5.877
_cell_length_b 5.877
_cell_length_c 5.877
_cell_angle_alpha 90.00
_cell_angle_beta 90.00
_cell_angle_gamma 90.00
loop_
_atom_site_label
_atom_site_fract_x
_atom_site_fract_y
_atom_site_fract_z
Mn1 0.000 0.000 0.000
Fe1 0.250 0.250 0.250
Ag1 0.000 0.000 0.500
```

Computed properties:
Theoretical density (Mg/m³): 8.98

Entry 2
Here is crystalline MnFe2Ag at its relaxed geometry from Alexandria via LeMat-Bulk. Energies are from GGA-PBEsol.

Geometry as CIF:
```
data_MnFe2Ag
_space_group_name_H-M_alt 'C 1 2/m 1'
_space_group_IT_number 12
_cell_length_a 8.597
_cell_length_b 2.633
_cell_length_c 4.526
_cell_angle_alpha 90.00
_cell_angle_beta 101.03
_cell_angle_gamma 90.00
loop_
_space_group_symop_operation_xyz
'x,y,z'
'-x,-y,-z'
'-x,y,-z'
'x,-y,z'
'x+1/2,y+1/2,z'
'-x+1/2,-y+1/2,-z'
'-x+1/2,y+1/2,-z'
'x+1/2,-y+1/2,z'
loop_
_atom_site_label
_atom_site_fract_x
_atom_site_fract_y
_atom_site_fract_z
Mn1 0.000 0.000 0.000
Fe1 0.243 0.500 0.221
Ag1 0.000 0.500 0.500
```

Computed properties:
Theoretical density (Mg/m³): 9.06

entry 2 is preferred energetically. Next in line: 121 meV per atom higher.

Entry 1
Here is crystalline MgMn2Cl at its relaxed geometry from Alexandria via LeMat-Bulk. Energies are from GGA-PBEsol.

Geometry as CIF:
```
data_MgMn2Cl
_space_group_name_H-M_alt 'C 1 2/m 1'
_space_group_IT_number 12
_cell_length_a 10.437
_cell_length_b 2.943
_cell_length_c 4.704
_cell_angle_alpha 90.00
_cell_angle_beta 116.65
_cell_angle_gamma 90.00
loop_
_space_group_symop_operation_xyz
'x,y,z'
'-x,-y,-z'
'-x,y,-z'
'x,-y,z'
'x+1/2,y+1/2,z'
'-x+1/2,-y+1/2,-z'
'-x+1/2,y+1/2,-z'
'x+1/2,-y+1/2,z'
loop_
_atom_site_label
_atom_site_fract_x
_atom_site_fract_y
_atom_site_fract_z
Mg1 0.000 0.000 0.000
Mn1 0.232 0.000 0.732
Cl1 0.000 0.500 0.500
```

Computed properties:
Theoretical density (Mg/m³): 4.36

Entry 2
Here is crystalline MgMn2Cl at its relaxed geometry from Alexandria via LeMat-Bulk. Energies are from GGA-PBEsol.

Geometry as CIF:
```
data_MgMn2Cl
_space_group_name_H-M_alt 'P m m m'
_space_group_IT_number 47
_cell_length_a 3.050
_cell_length_b 4.482
_cell_length_c 4.984
_cell_angle_alpha 90.00
_cell_angle_beta 90.00
_cell_angle_gamma 90.00
loop_
_space_group_symop_operation_xyz
'x,y,z'
'-x,-y,-z'
'-x,-y,z'
'x,y,-z'
'x,-y,-z'
'-x,y,z'
'-x,y,-z'
'x,-y,z'
loop_
_atom_site_label
_atom_site_fract_x
_atom_site_fract_y
_atom_site_fract_z
Mg1 0.000 0.000 0.000
Mn1 0.000 0.500 0.500
Mn2 0.500 0.000 0.500
Cl1 0.500 0.500 0.000
```

Computed properties:
Theoretical density (Mg/m³): 4.13

entry 1 is preferred energetically. Next in line: 54 meV per atom higher.

Entry 1
Here is crystalline BiO2 at its relaxed geometry from Alexandria via LeMat-Bulk. Energies are from GGA-PBEsol.

Geometry as CIF:
```
data_BiO2
_space_group_name_H-M_alt 'P m c 21'
_space_group_IT_number 26
_cell_length_a 3.422
_cell_length_b 11.724
_cell_length_c 10.693
_cell_angle_alpha 90.00
_cell_angle_beta 90.00
_cell_angle_gamma 90.00
loop_
_space_group_symop_operation_xyz
'x,y,z'
'-x,-y,z+1/2'
'-x,y,z'
'x,-y,z+1/2'
loop_
_atom_site_label
_atom_site_fract_x
_atom_site_fract_y
_atom_site_fract_z
Bi1 0.000 0.109 0.000
Bi2 0.000 0.388 0.496
Bi3 0.500 0.179 0.666
Bi4 0.500 0.335 0.141
O1 0.000 0.071 0.619
O2 0.000 0.298 0.685
O3 0.000 0.302 0.014
O4 0.000 0.353 0.266
O5 0.500 0.133 0.853
O6 0.500 0.154 0.133
O7 0.500 0.259 0.487
O8 0.500 0.495 0.587
```

Computed properties:
Theoretical density (Mg/m³): 7.46

Entry 2
Here is crystalline BiO2 at its relaxed geometry from Alexandria via LeMat-Bulk. Energies are from GGA-PBEsol.

Geometry as CIF:
```
data_BiO2
_space_group_name_H-M_alt 'F m -3 m'
_space_group_IT_number 225
_space_group_name_Hall '-F 4 2 3'
_cell_length_a 5.444
_cell_length_b 5.444
_cell_length_c 5.444
_cell_angle_alpha 90.00
_cell_angle_beta 90.00
_cell_angle_gamma 90.00
loop_
_atom_site_label
_atom_site_fract_x
_atom_site_fract_y
_atom_site_fract_z
Bi1 0.000 0.000 0.000
O1 0.250 0.250 0.250
```

Computed properties:
Theoretical density (Mg/m³): 9.92

entry 2 is preferred energetically. Next in line: 15 meV per atom higher.

Entry 1
Here is crystalline Zn2PBr at its relaxed geometry from Alexandria via LeMat-Bulk. Energies are from GGA-PBEsol.

Geometry as CIF:
```
data_Zn2PBr
_space_group_name_H-M_alt 'P -4 m 2'
_space_group_IT_number 115
_cell_length_a 4.033
_cell_length_b 4.033
_cell_length_c 5.580
_cell_angle_alpha 90.00
_cell_angle_beta 90.00
_cell_angle_gamma 90.00
loop_
_space_group_symop_operation_xyz
'x,y,z'
'y,-x,-z'
'-x,-y,z'
'-y,x,-z'
'-x,y,z'
'-y,-x,-z'
'x,-y,z'
'y,x,-z'
loop_
_atom_site_label
_atom_site_fract_x
_atom_site_fract_y
_atom_site_fract_z
Zn1 0.000 0.500 0.190
P1 0.000 0.000 0.000
Br1 0.500 0.500 0.500
```

Computed properties:
Theoretical density (Mg/m³): 4.42

Entry 2
Here is crystalline Zn2PBr at its relaxed geometry from Alexandria via LeMat-Bulk. Energies are from GGA-PBEsol.

Geometry as CIF:
```
data_Zn2PBr
_space_group_name_H-M_alt 'I m m m'
_space_group_IT_number 71
_space_group_name_Hall '-I 2 2'
_cell_length_a 3.543
_cell_length_b 7.100
_cell_length_c 7.176
_cell_angle_alpha 90.00
_cell_angle_beta 90.00
_cell_angle_gamma 90.00
loop_
_atom_site_label
_atom_site_fract_x
_atom_site_fract_y
_atom_site_fract_z
Zn1 0.000 0.217 0.000
P1 0.000 0.500 0.500
Br1 0.000 0.000 0.500
```

Computed properties:
Theoretical density (Mg/m³): 4.45

entry 1 is preferred energetically. Next in line: 528 meV per atom higher.